DFT (PBE) results for a geometry-optimized CePuGe4 structure.

Cell: 5.5766 5.5766 5.5766 Å, 60.00 60.00 60.00°
Site moments in Bohr magnetons follow the coordinates.
Sites, in units of the cell vectors:
Ge 0.6245 0.6245 0.1266  0.04
Ge 0.6245 0.1266 0.6245  0.04
Ge 0.6245 0.6245 0.6245  0.04
Ge 0.1266 0.6245 0.6245  0.04
Ce 0.0000 0.0000 0.0000  -0.42
Pu 0.2500 0.2500 0.2500  -5.49

Computed properties:
**Space-group type**: No. 216
**Final energy**: -6.828 eV/atom
**Fermi-level density of states**: 6.1 states/eV per cell

DFT (PBE) results for a geometry-optimized Ce3Pu4Ge4 structure.

Cell: 7.4492 7.4492 7.4492 Å, 109.47 109.47 109.47°
Site moments in Bohr magnetons follow the coordinates.
Sites, in units of the cell vectors:
Ce 0.5000 0.5000 0.0000  1.32
Ce 0.5000 0.0000 0.5000  1.32
Ce 0.0000 0.5000 0.5000  1.32
Pu 0.0000 0.2539 0.0000  5.41
Pu 0.0000 0.0000 0.2539  5.41
Pu 0.2539 0.0000 0.0000  5.41
Pu 0.7461 0.7461 0.7461  5.41
Ge 0.0000 0.6127 0.0000  -0.09
Ge 0.6127 0.0000 0.0000  -0.09
Ge 0.0000 0.0000 0.6127  -0.09
Ge 0.3873 0.3873 0.3873  -0.09

Computed properties:
**Space-group type**: No. 217
**Final energy**: -8.593 eV/atom
**Fermi-level density of states**: 36.0 states/eV per cell